No. 1
Tm2SbP, relaxed, DFT PBE; size of the total moment = 0.00 μB/cell; calculated total energy = -5.8251 eV/atom; SG = R3m
1.0
4.054 0.000 0.000
2.027 3.511 0.000
2.027 1.170 7.110
Tm Sb P
2 1 1
direct
0.072 0.072 0.783
0.260 0.260 0.220
0.499 0.499 0.503
0.668 0.668 0.995



No. 2
NpP2Rh, relaxed, DFT PBE; formation enthalpy at 0 K = -0.715 eV per atom; size of the total moment = 3.29 μB/cell; calculated total energy = -8.4927 eV/atom; SG = I-4m2; energy above the lowest structure with this stoichiometry = 74 meV/atom
1.0
3.857 0.001 0.000
-0.001 3.857 0.000
-1.928 -1.930 4.850
Np P Rh
1 2 1
direct
0.221 0.881 0.228
0.837 0.496 0.459
0.606 0.266 0.998
0.471 0.631 0.728



No. 3
Na2Cd3Hg3, relaxed, DFT PBE; formation enthalpy at 0 K = -0.127 eV per atom; size of the total moment = 0.00 μB/cell; calculated total energy = -0.9129 eV/atom; SG = Pmmm; energy above the lowest structure with this stoichiometry = 0 meV/atom
1.0
-3.961 -2.447 0.283
2.252 -3.391 2.193
-1.833 3.878 7.879
Na Cd Hg
2 3 3
direct
0.000 0.000 0.745
0.000 0.000 0.255
0.500 0.500 0.754
0.500 0.500 0.246
0.500 0.000 0.000
0.500 0.000 0.500
0.000 0.500 0.000
0.000 0.500 0.500



No. 4
RbZn2AgHg, relaxed, DFT PBE; formation enthalpy at 0 K = 0.081 eV per atom; size of the total moment = 0.00 μB/cell; calculated total energy = -1.2526 eV/atom; SG = P4/mmm
1.0
-4.071 2.603 1.762
-0.132 -3.022 4.159
3.406 3.522 2.667
Zn Rb Hg Ag
2 1 1 1
direct
0.000 0.500 0.000
0.500 0.000 0.000
0.500 0.500 0.500
0.000 0.000 0.500
0.000 0.000 0.000



No. 5
MgTlO2, relaxed, DFT PBE; size of the total moment = 0.00 μB/cell; calculated total energy = -4.9587 eV/atom; SG = I-42d; energy above the lowest structure with this stoichiometry = 0 meV/atom
1.0
-1.403 -3.394 3.524
-3.270 -2.077 -3.301
1.174 -5.797 -1.440
Tl Mg O
2 2 4
direct
0.000 0.000 0.000
0.750 0.250 0.500
0.500 0.500 0.000
0.250 0.750 0.500
0.565 0.125 0.250
0.185 0.625 0.250
0.375 0.435 0.750
0.875 0.815 0.750



No. 6
CuS6F2, relaxed, DFT PBE; size of the total moment = 0.94 μB/cell; calculated total energy = -3.9357 eV/atom; SG = C2/m
1.0
5.776 4.112 -0.109
-5.776 4.112 -0.109
0.000 0.158 3.608
Cu S F
1 6 2
direct
0.000 0.000 0.000
0.758 0.472 0.888
0.242 0.528 0.112
0.279 0.279 0.853
0.472 0.758 0.888
0.528 0.242 0.112
0.721 0.721 0.147
0.890 0.110 0.500
0.110 0.890 0.500